#a
The following is a DFT calculation (PBE) of a relaxed structure of Ac2Ni3Sn5.

abc: 4.549 7.438 13.886
angles: 90.00 99.43 90.00
Positions (direct):
Ac 0.473 0.750 0.945
Ac 0.173 0.745 0.346
Ac 0.827 0.245 0.654
Ac 0.527 0.250 0.055
Ni 0.778 0.727 0.556
Ni 0.609 0.512 0.218
Ni 0.053 0.963 0.106
Ni 0.222 0.227 0.444
Ni 0.947 0.463 0.894
Ni 0.391 0.012 0.782
Sn 0.407 0.370 0.815
Sn 0.285 0.529 0.571
Sn 0.715 0.029 0.429
Sn 0.125 0.248 0.250
Sn 0.296 0.933 0.593
Sn 0.947 0.088 0.894
Sn 0.704 0.433 0.407
Sn 0.875 0.748 0.750
Sn 0.053 0.588 0.106
Sn 0.593 0.870 0.185

Symmetry: Cmc2_1 (36)
Fermi-level density of states: 3.215 states/eV/f.u.

#b
The following is a DFT calculation (PBE) of a relaxed structure of Ac2Ni3Sn5.

abc: 6.576 9.127 9.127
angles: 71.65 68.88 68.88
Positions (direct):
Ac 0.134 0.615 0.118
Ac 0.634 0.118 0.615
Ac 0.866 0.385 0.882
Ac 0.366 0.882 0.385
Ni 0.372 0.512 0.744
Ni 0.872 0.744 0.512
Ni 0.628 0.488 0.256
Ni 0.128 0.256 0.488
Ni 0.250 0.000 0.000
Ni 0.750 0.000 0.000
Sn 0.400 0.246 0.953
Sn 0.900 0.953 0.246
Sn 0.600 0.754 0.047
Sn 0.100 0.047 0.754
Sn 0.503 0.747 0.747
Sn 0.497 0.253 0.253
Sn 0.750 0.500 0.500
Sn 0.250 0.500 0.500
Sn 0.997 0.253 0.253
Sn 0.003 0.747 0.747

Symmetry: Ibam (72)
Fermi-level density of states: 3.954 states/eV/f.u.

So which one is most stable? That would be #b, about 84 meV/atom below the next structure.